Entry 1:
Density functional theory data (PBE) for a relaxed structure of Er2Fe3Si5.

Cell: 10.316 10.316 5.422 Å, 90.00 90.00 90.00°
Space group P4/mnc (No. 128)
Symmetry-distinct sites (fractional):
Er (0.070, 0.236, 0.000) (multiplicity 8)
Fe (0.000, 0.500, 0.250) (multiplicity 4)
Fe (0.123, 0.856, 0.500) (multiplicity 8)
Si (0.000, 0.000, 0.264) (multiplicity 4)
Si (0.023, 0.320, 0.500) (multiplicity 8)
Si (0.177, 0.677, 0.250) (multiplicity 8)

## Properties
M_tot	0.0	μB/f.u.
E_tot	-6.8182	eV/atom



Entry 2:
Density functional theory data (PBE) for a relaxed structure of Er2Fe14Si3.

Cell: 8.2808 8.2808 8.1603 Å, 90.00 90.00 120.00°
Space group P6_3/mmc (No. 194)
Symmetry-distinct sites (fractional):
Er (0.0000, 0.0000, 0.2500) (multiplicity 2)
Er (0.3333, 0.6667, 0.2500) (multiplicity 2)
Fe (0.0291, 0.3581, 0.7500) (multiplicity 12)
Fe (0.1674, 0.3348, 0.0148) (multiplicity 12)
Fe (0.3333, 0.6667, 0.6102) (multiplicity 4)
Si (0.0000, 0.5000, 0.0000) (multiplicity 6)

## Properties
M_tot	25.8	μB/f.u.
E_tot	-7.7396	eV/atom



Entry 3:
Density functional theory data (PBE) for a relaxed structure of SmErFe2Si2.

Cell: 4.031 4.031 6.538 Å, 90.00 90.00 90.00°
Space group P4mm (No. 99)
Symmetry-distinct sites (fractional):
Sm (0.000, 0.000, 0.000) (multiplicity 1)
Er (0.500, 0.500, 0.366) (multiplicity 1)
Fe (0.000, 0.500, 0.671) (multiplicity 2)
Si (0.000, 0.000, 0.496) (multiplicity 1)
Si (0.500, 0.500, 0.850) (multiplicity 1)

## Properties
M_tot	0.0	μB/f.u.
E_tot	-6.7446	eV/atom



Entry 4:
Density functional theory data (PBE) for a relaxed structure of TbErFe2Si4.

Cell: 3.943 4.023 16.505 Å, 90.00 90.00 90.00°
Space group Amm2 (No. 38)
Symmetry-distinct sites (fractional):
Tb (0.000, 0.000, 0.000) (multiplicity 2)
Er (0.500, 0.000, 0.783) (multiplicity 2)
Fe (0.000, 0.000, 0.214) (multiplicity 2)
Fe (0.500, 0.000, 0.570) (multiplicity 2)
Si (0.000, 0.000, 0.349) (multiplicity 2)
Si (0.000, 0.000, 0.643) (multiplicity 2)
Si (0.500, 0.000, 0.142) (multiplicity 2)
Si (0.500, 0.000, 0.434) (multiplicity 2)

## Properties
M_tot	0.1	μB/f.u.
E_tot	-6.5452	eV/atom



Entry 5:
Density functional theory data (PBE) for a relaxed structure of ErTmFeSi2.

Cell: 10.317 4.106 9.828 Å, 90.00 119.00 90.00°
Space group C2/m (No. 12)
Symmetry-distinct sites (fractional):
Er (0.188, 0.000, 0.109) (multiplicity 4)
Tm (0.001, 0.000, 0.672) (multiplicity 4)
Fe (0.229, 0.500, 0.375) (multiplicity 4)
Si (0.002, 0.500, 0.873) (multiplicity 4)
Si (0.152, 0.500, 0.563) (multiplicity 4)

## Properties
M_tot	0.1	μB/f.u.
E_tot	-6.3660	eV/atom



Entry 6:
Density functional theory data (PBE) for a relaxed structure of ErTmFe2Si4.

Cell: 3.903 3.979 16.571 Å, 90.00 90.00 90.00°
Space group Amm2 (No. 38)
Symmetry-distinct sites (fractional):
Er (0.000, 0.000, 0.000) (multiplicity 2)
Tm (0.500, 0.000, 0.218) (multiplicity 2)
Fe (0.000, 0.000, 0.785) (multiplicity 2)
Fe (0.500, 0.000, 0.433) (multiplicity 2)
Si (0.000, 0.000, 0.358) (multiplicity 2)
Si (0.000, 0.000, 0.651) (multiplicity 2)
Si (0.500, 0.000, 0.567) (multiplicity 2)
Si (0.500, 0.000, 0.859) (multiplicity 2)

## Properties
M_tot	0.0	μB/f.u.
E_tot	-6.5197	eV/atom



Entry 7:
Density functional theory data (PBE) for a relaxed structure of ErTmFeSi2.

Cell: 10.323 4.107 9.830 Å, 90.00 119.08 90.00°
Space group C2/m (No. 12)
Symmetry-distinct sites (fractional):
Er (0.001, 0.000, 0.172) (multiplicity 4)
Tm (0.188, 0.000, 0.609) (multiplicity 4)
Fe (0.229, 0.500, 0.875) (multiplicity 4)
Si (0.002, 0.500, 0.374) (multiplicity 4)
Si (0.152, 0.500, 0.064) (multiplicity 4)

## Properties
M_tot	0.1	μB/f.u.
E_tot	-6.3620	eV/atom



Entry 8:
Density functional theory data (PBE) for a relaxed structure of ErTmFe2Si2.

Cell: 4.018 4.018 6.358 Å, 90.00 90.00 90.00°
Space group P4mm (No. 99)
Symmetry-distinct sites (fractional):
Er (0.000, 0.000, 0.000) (multiplicity 1)
Tm (0.500, 0.500, 0.631) (multiplicity 1)
Fe (0.000, 0.500, 0.318) (multiplicity 2)
Si (0.000, 0.000, 0.502) (multiplicity 1)
Si (0.500, 0.500, 0.133) (multiplicity 1)

## Properties
M_tot	0.1	μB/f.u.
E_tot	-6.7366	eV/atom



Respective V values: 14.43, 12.75, 17.70, 16.37, 18.21, 16.08, 18.21, 17.11 A^3/atom.